DFT (PBE) results for an optimized crystal structure of LiNd2TiO5.

Structure (POSCAR):
```
LiNd2TiO5
1.0
3.451 0.000 0.000
-1.726 6.647 0.000
0.000 0.000 9.806
Li Nd Ti O
2 4 2 10
Direct
0.783 0.567 0.509 Li
0.217 0.433 0.009 Li
0.856 0.713 0.800 Nd
0.117 0.235 0.685 Nd
0.144 0.287 0.300 Nd
0.883 0.765 0.185 Nd
0.545 0.090 0.965 Ti
0.455 0.910 0.465 Ti
0.375 0.750 0.003 O
0.680 0.360 0.869 O
0.495 0.991 0.778 O
0.288 0.577 0.666 O
0.946 0.892 0.549 O
0.625 0.250 0.503 O
0.320 0.640 0.369 O
0.505 0.009 0.278 O
0.712 0.423 0.166 O
0.054 0.108 0.049 O
```

Values from the calculation:
total magnetization	0.96	μB per formula unit
density	6.25	g cm⁻³
formation energy from raw total energies	-281.1	kJ per mole of atoms


DFT (PBE) results for an optimized crystal structure of AlZn2In.

Structure (POSCAR):
```
AlZn2In
1.0
4.570 -0.058 0.020
3.448 3.000 0.020
1.079 0.396 5.440
Zn Al In
2 1 1
Direct
0.992 0.992 0.045 Zn
0.252 0.252 0.243 Zn
0.508 0.508 0.456 Al
0.748 0.748 0.756 In
```

Values from the calculation:
total magnetization	0.00	μB per formula unit
density	5.99	g cm⁻³
E_form	0.099	eV/atom


DFT (PBE) results for an optimized crystal structure of ScCrBi3.

Structure (POSCAR):
```
ScCrBi3
1.0
5.529 0.000 0.000
0.000 5.529 0.000
0.000 0.000 5.529
Sc Cr Bi
1 1 3
Direct
0.000 0.000 0.000 Sc
0.500 0.500 0.500 Cr
0.000 0.500 0.000 Bi
0.000 0.000 0.500 Bi
0.500 0.000 0.000 Bi
```

Values from the calculation:
total magnetization	0.91	μB per formula unit
density	7.11	g cm⁻³
E_form	1.130	eV/atom


The following electronic total energy values (in eV for the cell shown) correspond, in order, to the records above: -140.7, -8.6, -21.9.